[1]
Entry from OQMD via LeMat-Bulk: crystalline Li4SnPt2Pb at its relaxed geometry (PBE).

Space group: P-4m2 (115)
Total DFT energy (no corrections), eV per cell: -31.97

POSCAR file:
```
Li4SnPt2Pb
1.0
-1.0072 -0.9906 -4.2946
-0.8099 -4.2887 1.1792
-6.1372 1.4620 1.1022
Li Sn Pt Pb
4 1 2 1
direct
0.5000 0.5000 0.5000 Li
0.5000 0.0000 0.2578 Li
0.0000 0.0000 0.0000 Li
0.0000 0.5000 0.7422 Li
0.0000 0.0000 0.5000 Sn
0.0000 0.5000 0.2650 Pt
0.5000 0.0000 0.7350 Pt
0.5000 0.5000 0.0000 Pb
```

=====

[2]
Entry from OQMD via LeMat-Bulk: crystalline CuAg4 at its relaxed geometry (PBE).

Energy relative to the lowest polymorph listed for this composition, meV/atom: 37
Space group: P-1 (2)
Formation enthalpy at 0 K, eV per formula unit: 0.31
Total DFT energy (no corrections), eV per cell: -29.41

POSCAR file:
```
CuAg4
1.0
-1.1691 -2.8357 -3.9190
-0.1105 -3.4432 3.6132
-5.9752 4.3759 1.7241
Cu Ag
2 8
direct
0.1946 0.5966 0.1942 Cu
0.8054 0.4034 0.8058 Cu
0.7967 0.8924 0.2973 Ag
0.0000 0.5000 0.5000 Ag
0.3908 0.6931 0.9017 Ag
0.0000 0.0000 0.0000 Ag
0.4002 0.1994 0.3986 Ag
0.2033 0.1076 0.7027 Ag
0.5998 0.8006 0.6014 Ag
0.6092 0.3069 0.0983 Ag
```

=====

[3]
Entry from OQMD via LeMat-Bulk: crystalline LuSiW at its relaxed geometry (PBE).

Space group: F-43m (216)
Total DFT energy (no corrections), eV per cell: -18.93

POSCAR file:
```
LuSiW
1.0
0.0000 3.2597 3.2597
3.2597 0.0000 3.2597
3.2597 3.2597 0.0000
W Si Lu
1 1 1
direct
0.7500 0.7500 0.7500 W
0.2500 0.2500 0.2500 Si
0.0000 0.0000 0.0000 Lu
```

=====

Repeat the second record exactly.
Entry from OQMD via LeMat-Bulk: crystalline CuAg4 at its relaxed geometry (PBE).

Energy relative to the lowest polymorph listed for this composition, meV/atom: 37
Space group: P-1 (2)
Formation enthalpy at 0 K, eV per formula unit: 0.31
Total DFT energy (no corrections), eV per cell: -29.41

POSCAR file:
```
CuAg4
1.0
-1.1691 -2.8357 -3.9190
-0.1105 -3.4432 3.6132
-5.9752 4.3759 1.7241
Cu Ag
2 8
direct
0.1946 0.5966 0.1942 Cu
0.8054 0.4034 0.8058 Cu
0.7967 0.8924 0.2973 Ag
0.0000 0.5000 0.5000 Ag
0.3908 0.6931 0.9017 Ag
0.0000 0.0000 0.0000 Ag
0.4002 0.1994 0.3986 Ag
0.2033 0.1076 0.7027 Ag
0.5998 0.8006 0.6014 Ag
0.6092 0.3069 0.0983 Ag
```